# 1
The following is a DFT calculation (GGA-PBE) of an optimized crystal structure of Er2Si3PdPt4.

Properties
Mass density ... 12.31 g cm⁻³
D(E_F) ... 7.02 states/eV per cell
E_form (uncorrected) ... -976 meV/atom
Calculated total energy ... -64.51 eV/cell

abc: 3.994 3.994 11.037
angles: 90.00 90.00 90.00
Space group P-4m2 (No. 115)
Unique sites:
Er: 0.000 0.500 0.245 [2 per cell]
Si: 0.000 0.000 0.000 [1 per cell]
Si: 0.000 0.500 0.631 [2 per cell]
Pd: 0.500 0.500 0.000 [1 per cell]
Pt: 0.000 0.000 0.500 [1 per cell]
Pt: 0.000 0.500 0.839 [2 per cell]
Pt: 0.500 0.500 0.500 [1 per cell]

# 2
The following is a DFT calculation (GGA-PBE) of an optimized crystal structure of Er2Si4PdPt3.

Properties
Mass density ... 10.98 g cm⁻³
D(E_F) ... 5.61 states/eV per cell
E_form (uncorrected) ... -1050 meV/atom
Calculated total energy ... -64.63 eV/cell

abc: 4.176 4.176 9.875
angles: 90.00 90.00 90.00
Space group P-4m2 (No. 115)
Unique sites:
Er: 0.000 0.500 0.248 [2 per cell]
Si: 0.000 0.000 0.000 [1 per cell]
Si: 0.000 0.500 0.634 [2 per cell]
Si: 0.500 0.500 0.000 [1 per cell]
Pd: 0.000 0.000 0.500 [1 per cell]
Pt: 0.000 0.500 0.875 [2 per cell]
Pt: 0.500 0.500 0.500 [1 per cell]

# 3
The following is a DFT calculation (GGA-PBE) of an optimized crystal structure of ErSi2Pd2Pt.

Properties
Mass density ... 9.03 g cm⁻³
D(E_F) ... 4.11 states/eV per cell
E_form (uncorrected) ... -417 meV/atom
Calculated total energy ... -34.33 eV/cell

abc: 4.573 4.573 5.553
angles: 90.00 90.00 90.00
Space group P4/mmm (No. 123)
Unique sites:
Er: 0.000 0.000 0.000 [1 per cell]
Si: 0.000 0.500 0.500 [2 per cell]
Pd: 0.500 0.500 0.247 [2 per cell]
Pt: 0.000 0.000 0.500 [1 per cell]

# 4
The following is a DFT calculation (GGA-PBE) of an optimized crystal structure of SrErPdPt.

Properties
Mass density ... 10.21 g cm⁻³
D(E_F) ... 10.16 states/eV per cell
DFT formation energy ... -0.8029 eV per atom
Calculated total energy ... -82.76 eV/cell

abc: 7.127 7.127 7.127
angles: 90.00 90.00 90.00
Space group F-43m (No. 216)
Unique sites:
Sr: 0.000 0.000 0.000 [4 per cell]
Er: 0.000 0.000 0.500 [4 per cell]
Pd: 0.250 0.250 0.750 [4 per cell]
Pt: 0.250 0.250 0.250 [4 per cell]

# 5
The following is a DFT calculation (GGA-PBE) of an optimized crystal structure of TbErPdPt.

Properties
Mass density ... 11.74 g cm⁻³
D(E_F) ... 5.94 states/eV per cell
DFT formation energy ... -1.1149 eV per atom
Excess energy over the best structure of this formula in the dataset ... 0.000 eV per atom
Calculated total energy ... -49.77 eV/cell

abc: 4.503 3.759 10.491
angles: 90.00 90.00 90.00
Space group Amm2 (No. 38)
Unique sites:
Tb: 0.000 0.000 0.000 [2 per cell]
Er: 0.500 0.000 0.275 [2 per cell]
Pd: 0.000 0.000 0.726 [2 per cell]
Pt: 0.500 0.000 0.551 [2 per cell]

# 6
The following is a DFT calculation (GGA-PBE) of an optimized crystal structure of TbErPdPt.

Properties
Mass density ... 12.22 g cm⁻³
D(E_F) ... 14.38 states/eV per cell
DFT formation energy ... -1.0762 eV per atom
Excess energy over the best structure of this formula in the dataset ... 0.039 eV per atom
Calculated total energy ... -98.93 eV/cell

abc: 6.988 6.988 6.988
angles: 90.00 90.00 90.00
Space group F-43m (No. 216)
Unique sites:
Tb: 0.000 0.000 0.000 [4 per cell]
Er: 0.000 0.000 0.500 [4 per cell]
Pd: 0.250 0.250 0.250 [4 per cell]
Pt: 0.250 0.250 0.750 [4 per cell]

# 7
The following is a DFT calculation (GGA-PBE) of an optimized crystal structure of Er8Te4PdPt3.

Properties
Mass density ... 9.91 g cm⁻³
D(E_F) ... 24.64 states/eV per cell
E_form (uncorrected) ... -1216 meV/atom
Calculated total energy ... -275.54 eV/cell

abc: 8.2263 8.2263 21.7818
angles: 90.00 90.00 120.00
Space group R-3m (No. 166, hexagonal axes)
Unique sites:
Er: 0.0000 0.0000 0.2370 [6 per cell]
Er: 0.0035 0.5018 0.7627 [18 per cell]
Te: 0.0000 0.0000 0.0000 [3 per cell]
Te: 0.0000 0.5000 0.0000 [9 per cell]
Pd: 0.0000 0.0000 0.5000 [3 per cell]
Pt: 0.0000 0.5000 0.5000 [9 per cell]

# 8
The following is a DFT calculation (GGA-PBE) of an optimized crystal structure of ErThPdPt.

Properties
Mass density ... 12.49 g cm⁻³
D(E_F) ... 6.52 states/eV per cell
DFT formation energy ... -1.0894 eV per atom
Excess energy over the best structure of this formula in the dataset ... 0.000 eV per atom
Calculated total energy ... -55.15 eV/cell

abc: 4.510 3.802 10.870
angles: 90.00 90.00 90.00
Space group Amm2 (No. 38)
Unique sites:
Er: 0.000 0.000 0.000 [2 per cell]
Th: 0.500 0.000 0.275 [2 per cell]
Pd: 0.500 0.000 0.547 [2 per cell]
Pt: 0.000 0.000 0.730 [2 per cell]

# 9
The following is a DFT calculation (GGA-PBE) of an optimized crystal structure of ErThPdPt.

Properties
Mass density ... 12.85 g cm⁻³
D(E_F) ... 12.69 states/eV per cell
DFT formation energy ... -0.9629 eV per atom
Excess energy over the best structure of this formula in the dataset ... 0.127 eV per atom
Calculated total energy ... -108.27 eV/cell

abc: 7.128 7.128 7.128
angles: 90.00 90.00 90.00
Space group F-43m (No. 216)
Unique sites:
Er: 0.000 0.000 0.000 [4 per cell]
Th: 0.000 0.000 0.500 [4 per cell]
Pd: 0.250 0.250 0.250 [4 per cell]
Pt: 0.250 0.250 0.750 [4 per cell]

# 10
The following is a DFT calculation (GGA-PBE) of an optimized crystal structure of ErTlPdPt.

Properties
Mass density ... 14.11 g cm⁻³
D(E_F) ... 12.49 states/eV per cell
DFT formation energy ... -0.7084 eV per atom
Calculated total energy ... -83.99 eV/cell

abc: 6.817 6.817 6.817
angles: 90.00 90.00 90.00
Space group F-43m (No. 216)
Unique sites:
Er: 0.000 0.000 0.000 [4 per cell]
Tl: 0.000 0.000 0.500 [4 per cell]
Pd: 0.250 0.250 0.250 [4 per cell]
Pt: 0.250 0.250 0.750 [4 per cell]

# 11
The following is a DFT calculation (GGA-PBE) of an optimized crystal structure of ErTmPdPt.

Properties
Mass density ... 12.76 g cm⁻³
D(E_F) ... 11.50 states/eV per cell
DFT formation energy ... -1.1222 eV per atom
Excess energy over the best structure of this formula in the dataset ... 0.020 eV per atom
Calculated total energy ... -99.03 eV/cell

abc: 6.925 6.925 6.925
angles: 90.00 90.00 90.00
Space group F-43m (No. 216)
Unique sites:
Er: 0.000 0.000 0.000 [4 per cell]
Tm: 0.000 0.000 0.500 [4 per cell]
Pd: 0.250 0.250 0.750 [4 per cell]
Pt: 0.250 0.250 0.250 [4 per cell]

# 12
The following is a DFT calculation (GGA-PBE) of an optimized crystal structure of ErTmPdPt.

Properties
Mass density ... 12.22 g cm⁻³
D(E_F) ... 6.46 states/eV per cell
DFT formation energy ... -1.1418 eV per atom
Excess energy over the best structure of this formula in the dataset ... 0.000 eV per atom
Calculated total energy ... -49.67 eV/cell

abc: 4.465 3.720 10.435
angles: 90.00 90.00 90.00
Space group Amm2 (No. 38)
Unique sites:
Er: 0.000 0.000 0.000 [2 per cell]
Tm: 0.500 0.000 0.724 [2 per cell]
Pd: 0.000 0.000 0.274 [2 per cell]
Pt: 0.500 0.000 0.449 [2 per cell]

# 13
The following is a DFT calculation (GGA-PBE) of an optimized crystal structure of ErPuPd.

Properties
Mass density ... 11.71 g cm⁻³
D(E_F) ... 18.20 states/eV per cell
DFT formation energy ... -0.3611 eV per atom
Excess energy over the best structure of this formula in the dataset ... 0.000 eV per atom
Calculated total energy ... -50.34 eV/cell

abc: 3.494 3.494 12.029
angles: 90.00 90.00 90.00
Space group I4mm (No. 107)
Unique sites:
Er: 0.000 0.000 0.000 [2 per cell]
Pu: 0.000 0.000 0.714 [2 per cell]
Pd: 0.000 0.000 0.372 [2 per cell]

# 14
The following is a DFT calculation (GGA-PBE) of an optimized crystal structure of ErPuPd.

Properties
Mass density ... 13.31 g cm⁻³
D(E_F) ... 8.30 states/eV per cell
DFT formation energy ... -0.3525 eV per atom
Excess energy over the best structure of this formula in the dataset ... 0.009 eV per atom
Calculated total energy ... -50.29 eV/cell

abc: 3.480 4.713 8.102
angles: 84.66 77.63 89.90
Space group P-1 (No. 2)
Unique sites:
Er: 0.082 0.278 0.336 [2 per cell]
Pu: 0.240 0.835 0.022 [2 per cell]
Pd: 0.428 0.227 0.644 [2 per cell]

# 15
The following is a DFT calculation (GGA-PBE) of an optimized crystal structure of Er2PuPd9.

Properties
Mass density ... 12.20 g cm⁻³
D(E_F) ... 19.68 states/eV per cell
DFT formation energy ... -0.7902 eV per atom
Calculated total energy ... -79.68 eV/cell

abc: 4.114 4.114 12.359
angles: 90.00 90.00 90.00
Space group P4/mmm (No. 123)
Unique sites:
Er: 0.000 0.000 0.164 [2 per cell]
Pu: 0.000 0.000 0.500 [1 per cell]
Pd: 0.000 0.500 0.000 [2 per cell]
Pd: 0.000 0.500 0.333 [4 per cell]
Pd: 0.500 0.500 0.166 [2 per cell]
Pd: 0.500 0.500 0.500 [1 per cell]

# 16
The following is a DFT calculation (GGA-PBE) of an optimized crystal structure of Er2PuPd.

Properties
Mass density ... 10.28 g cm⁻³
D(E_F) ... 31.69 states/eV per cell
DFT formation energy ... -0.0247 eV per atom
Excess energy over the best structure of this formula in the dataset ... 0.340 eV per atom
Calculated total energy ... -86.25 eV/cell

abc: 3.4660 3.4660 31.9006
angles: 90.00 90.00 120.00
Space group R-3m (No. 166, hexagonal axes)
Unique sites:
Er: 0.0000 0.0000 0.1035 [6 per cell]
Pu: 0.0000 0.0000 0.0000 [3 per cell]
Pd: 0.0000 0.0000 0.5000 [3 per cell]

# 17
The following is a DFT calculation (GGA-PBE) of an optimized crystal structure of ErPu3Pd4.

Properties
Mass density ... 12.75 g cm⁻³
D(E_F) ... 34.70 states/eV per cell
DFT formation energy ... -0.5209 eV per atom
Calculated total energy ... -72.50 eV/cell

abc: 3.329 5.070 10.221
angles: 90.00 90.00 90.00
Space group Pmmm (No. 47)
Unique sites:
Er: 0.000 0.000 0.000 [1 per cell]
Pu: 0.000 0.000 0.500 [1 per cell]
Pu: 0.000 0.500 0.251 [2 per cell]
Pd: 0.500 0.000 0.237 [2 per cell]
Pd: 0.500 0.500 0.000 [1 per cell]
Pd: 0.500 0.500 0.500 [1 per cell]

# 18
The following is a DFT calculation (GGA-PBE) of an optimized crystal structure of ErPuPd4.

Properties
Mass density ... 10.49 g cm⁻³
D(E_F) ... 17.05 states/eV per cell
DFT formation energy ... -0.5129 eV per atom
Excess energy over the best structure of this formula in the dataset ... 0.147 eV per atom
Calculated total energy ... -42.74 eV/cell

abc: 3.957 3.957 8.462
angles: 90.00 90.00 90.00
Space group P4/mmm (No. 123)
Unique sites:
Er: 0.000 0.000 0.000 [1 per cell]
Pu: 0.500 0.500 0.500 [1 per cell]
Pd: 0.000 0.500 0.247 [4 per cell]

# 19
The following is a DFT calculation (GGA-PBE) of an optimized crystal structure of ErPuPd4.

Properties
Mass density ... 12.21 g cm⁻³
D(E_F) ... 72.19 states/eV per cell
DFT formation energy ... -0.6601 eV per atom
Excess energy over the best structure of this formula in the dataset ... 0.000 eV per atom
Calculated total energy ... -174.51 eV/cell

abc: 7.693 7.693 7.693
angles: 90.00 90.00 90.00
Space group F-43m (No. 216)
Unique sites:
Er: 0.000 0.000 0.000 [4 per cell]
Pu: 0.250 0.250 0.750 [4 per cell]
Pd: 0.125 0.125 0.375 [16 per cell]

# 20
The following is a DFT calculation (GGA-PBE) of an optimized crystal structure of Er2PuPd.

Properties
Mass density ... 11.24 g cm⁻³
D(E_F) ... 7.44 states/eV per cell
DFT formation energy ... -0.3643 eV per atom
Excess energy over the best structure of this formula in the dataset ... 0.000 eV per atom
Calculated total energy ... -30.11 eV/cell

abc: 3.481 3.481 8.352
angles: 90.00 90.00 90.00
Space group P4/mmm (No. 123)
Unique sites:
Er: 0.000 0.000 0.202 [2 per cell]
Pu: 0.500 0.500 0.500 [1 per cell]
Pd: 0.500 0.500 0.000 [1 per cell]

# 21
The following is a DFT calculation (GGA-PBE) of an optimized crystal structure of Er2PuSnPd4.

Properties
Mass density ... 11.34 g cm⁻³
D(E_F) ... 47.48 states/eV per cell
DFT formation energy ... -0.7055 eV per atom
Calculated total energy ... -161.63 eV/cell

abc: 4.8649 4.8649 24.0724
angles: 90.00 90.00 120.00
Space group R-3m (No. 166, hexagonal axes)
Unique sites:
Er: 0.0000 0.0000 0.2461 [6 per cell]
Pu: 0.0000 0.0000 0.0000 [3 per cell]
Sn: 0.0000 0.0000 0.5000 [3 per cell]
Pd: 0.0000 0.0000 0.1243 [6 per cell]
Pd: 0.0000 0.0000 0.3796 [6 per cell]

# 22
The following is a DFT calculation (GGA-PBE) of an optimized crystal structure of ErPuTcPd.

Properties
Mass density ... 12.68 g cm⁻³
D(E_F) ... 27.95 states/eV per cell
DFT formation energy ... -0.2622 eV per atom
Calculated total energy ... -142.01 eV/cell

abc: 6.857 6.857 6.857
angles: 90.00 90.00 90.00
Space group F-43m (No. 216)
Unique sites:
Er: 0.000 0.000 0.000 [4 per cell]
Pu: 0.000 0.000 0.500 [4 per cell]
Tc: 0.250 0.250 0.250 [4 per cell]
Pd: 0.250 0.250 0.750 [4 per cell]

# 23
The following is a DFT calculation (GGA-PBE) of an optimized crystal structure of ErPuZnPd.

Properties
Mass density ... 10.96 g cm⁻³
D(E_F) ... 37.73 states/eV per cell
DFT formation energy ... -0.3788 eV per atom
Calculated total energy ... -107.51 eV/cell

abc: 7.071 7.071 7.071
angles: 90.00 90.00 90.00
Space group F-43m (No. 216)
Unique sites:
Er: 0.000 0.000 0.000 [4 per cell]
Pu: 0.000 0.000 0.500 [4 per cell]
Zn: 0.250 0.250 0.750 [4 per cell]
Pd: 0.250 0.250 0.250 [4 per cell]

# 24
The following is a DFT calculation (GGA-PBE) of an optimized crystal structure of ErZrRePd.

Properties
Mass density ... 11.94 g cm⁻³
D(E_F) ... 5.59 states/eV per cell
DFT formation energy ... -0.3795 eV per atom
Calculated total energy ... -129.08 eV/cell

abc: 6.744 6.744 6.744
angles: 90.00 90.00 90.00
Space group F-43m (No. 216)
Unique sites:
Er: 0.000 0.000 0.000 [4 per cell]
Zr: 0.000 0.000 0.500 [4 per cell]
Re: 0.250 0.250 0.750 [4 per cell]
Pd: 0.250 0.250 0.250 [4 per cell]

# 25
The following is a DFT calculation (GGA-PBE) of an optimized crystal structure of Er8Pd2Rh.

Properties
Mass density ... 9.90 g cm⁻³
D(E_F) ... 24.67 states/eV per cell
DFT formation energy ... -0.5079 eV per atom
Excess energy over the best structure of this formula in the dataset ... 0.000 eV per atom
Calculated total energy ... -119.65 eV/cell

abc: 17.144 5.037 6.668
angles: 90.00 105.61 90.00
Space group C2/m (No. 12)
Unique sites:
Er: 0.032 0.000 0.288 [4 per cell]
Er: 0.090 0.500 0.943 [4 per cell]
Er: 0.164 0.500 0.474 [4 per cell]
Er: 0.203 0.000 0.819 [4 per cell]
Pd: 0.188 0.000 0.223 [4 per cell]
Rh: 0.000 0.500 0.500 [2 per cell]

# 26
The following is a DFT calculation (GGA-PBE) of an optimized crystal structure of Er6Pd2Rh.

Properties
Mass density ... 10.06 g cm⁻³
D(E_F) ... 32.92 states/eV per cell
DFT formation energy ... -0.6158 eV per atom
Excess energy over the best structure of this formula in the dataset ... 0.000 eV per atom
Calculated total energy ... -202.62 eV/cell

abc: 9.402 9.588 9.658
angles: 90.00 90.00 90.00
Space group Immm (No. 71)
Unique sites:
Er: 0.000 0.170 0.206 [8 per cell]
Er: 0.173 0.500 0.241 [8 per cell]
Er: 0.186 0.240 0.500 [8 per cell]
Pd: 0.000 0.365 0.000 [4 per cell]
Pd: 0.158 0.000 0.000 [4 per cell]
Rh: 0.000 0.000 0.500 [2 per cell]
Rh: 0.000 0.500 0.500 [2 per cell]